## PuTlGeTe3 (PBE)

Data for PuTlGeTe3 after structural relaxation.

Geometry as POSCAR:
```
PuTlGeTe3
1.0
10.0180 0.0000 0.0000
0.0000 4.2792 0.0000
-2.3578 0.0000 9.8063
Pu Tl Ge Te
2 2 2 6
direct
0.1610 0.2500 0.1519 Pu
0.8390 0.7500 0.8481 Pu
0.2028 0.2500 0.6886 Tl
0.7972 0.7500 0.3114 Tl
0.4547 0.7500 0.3881 Ge
0.5453 0.2500 0.6119 Ge
0.1565 0.7500 0.9306 Te
0.1771 0.7500 0.3813 Te
0.4784 0.2500 0.2093 Te
0.5216 0.7500 0.7907 Te
0.8229 0.2500 0.6187 Te
0.8435 0.2500 0.0694 Te
```

Calculated values
Energy relative to the elements, uncorrected   -0.512 eV/atom
Total moment   10.01 Bohr magnetons per cell
Space-group type   No. 11
Volume   35.03 Å³ per atom



## Pu2ThGe (PBE)

Data for Pu2ThGe after structural relaxation.

Geometry as POSCAR:
```
Pu2ThGe
1.0
0.0000 3.6502 3.6502
3.6502 0.0000 3.6502
3.6502 3.6502 0.0000
Pu Th Ge
2 1 1
direct
0.2500 0.2500 0.2500 Pu
0.7500 0.7500 0.7500 Pu
0.0000 0.0000 0.0000 Th
0.5000 0.5000 0.5000 Ge
```

Calculated values
Offset from the most stable computed form   0.2851 eV/atom
Energy of formation from the pure elements   0.012 eV/atom
Total moment   12.95 Bohr magnetons per cell
Space-group type   No. 225
Volume   24.32 Å³ per atom



no.,N(E_F) (states/eV/atom)
1,2.1070
2,2.8958